No. 1
! VSi3Sb GGA-PBE optimized geometry; values from VASP
! - raw formation energy (eV/atom) = 0.575
! - excess energy over the best structure of this formula in the dataset (meV/atom) = 0
! - SG = Pm-3m (221)
&SYSTEM
  ibrav = 0, nat = 5, ntyp = 3
/
ATOMIC_SPECIES
V 50.94 V.upf
Si 28.09 Si.upf
Sb 121.76 Sb.upf
ATOMIC_POSITIONS crystal
V 0.0000 0.0000 0.0000
Si 0.0000 0.0000 0.5000
Si 0.0000 0.5000 0.0000
Si 0.5000 0.0000 0.0000
Sb 0.5000 0.5000 0.5000
CELL_PARAMETERS angstrom
4.6692 0.0000 0.0000
0.0000 4.6692 0.0000
0.0000 0.0000 4.6692



No. 2
! Nd3HoMg3 GGA-PBE optimized geometry; values from VASP
! - energy of formation (eV/f.u.) = 0.53
! - excess energy over the best structure of this formula in the dataset (meV/atom) = 9
! - SG = C2/m (12)
&SYSTEM
  ibrav = 0, nat = 14, ntyp = 3
/
ATOMIC_SPECIES
Nd 144.24 Nd.upf
Ho 164.93 Ho.upf
Mg 24.30 Mg.upf
ATOMIC_POSITIONS crystal
Nd 0.1745 0.8255 0.0000
Nd 0.2243 0.7757 0.5000
Nd 0.4725 0.4725 0.1730
Nd 0.5275 0.5275 0.8270
Nd 0.7757 0.2243 0.5000
Nd 0.8255 0.1745 0.0000
Ho 0.2857 0.2857 0.5083
Ho 0.7143 0.7143 0.4917
Mg 0.0001 0.0001 0.2606
Mg 0.9999 0.9999 0.7394
Mg 0.0148 0.4997 0.7486
Mg 0.4997 0.0148 0.7486
Mg 0.5003 0.9852 0.2514
Mg 0.9852 0.5003 0.2514
CELL_PARAMETERS angstrom
3.7008 -5.4001 0.0000
3.7008 5.4001 0.0000
-0.2406 0.0000 10.7516



No. 3
! ReAsSe2 GGA-PBE optimized geometry; values from VASP
! - raw formation energy (eV/atom) = 0.225
! - SG = C2/m (12)
&SYSTEM
  ibrav = 0, nat = 4, ntyp = 3
/
ATOMIC_SPECIES
Re 186.21 Re.upf
As 74.92 As.upf
Se 78.96 Se.upf
ATOMIC_POSITIONS crystal
Re 0.0000 0.0000 0.0000
As 0.5000 0.5000 0.5000
Se 0.2949 0.2949 0.8010
Se 0.7051 0.7051 0.1990
CELL_PARAMETERS angstrom
2.7451 -1.5709 0.0000
2.7451 1.5709 0.0000
-1.0830 0.0000 9.0008